# 1
DFT (PBE-GGA) results for an optimized crystal structure of CaYPdRh.

Calculated values
Its density of states at the Fermi level is 1.86 states/eV/f.u. As for the calculated total energy: -0.439 Ry/atom.

a = 3.4322 Å, b = 3.4322 Å, c = 7.2028 Å
α = 90.00°, β = 90.00°, γ = 90.00°
Closest atoms and distances in Å follow each position.
Fractional coordinates of all 4 atoms:
1 Ca 0.0000 0.0000 0.8615  4 Rh 3.08, 4 Pd 3.11, 4 Ca 3.43
2 Y 0.0000 0.0000 0.3499  4 Rh 2.92, 4 Pd 2.99
3 Pd 0.5000 0.5000 0.5919  4 Y 2.99, 4 Ca 3.11
4 Rh 0.5000 0.5000 0.1247  4 Y 2.92, 4 Ca 3.08

---

# 2
DFT (PBE-GGA) results for an optimized crystal structure of Ca2Zn5Pd2Rh.

Calculated values
Its density of states at the Fermi level is 5.79 states/eV/f.u. As for the calculated total energy: -0.238 Ry/atom.

a = 3.7832 Å, b = 9.7340 Å, c = 9.7340 Å
α = 90.00°, β = 90.00°, γ = 90.00°
Closest atoms and distances in Å follow each position.
Fractional coordinates of all 20 atoms:
1 Ca 0.0000 0.6771 0.1771  3 Pd 2.74-2.97
2 Ca 0.0000 0.3229 0.8229  3 Pd 2.74-2.97
3 Ca 0.0000 0.1771 0.3229  3 Pd 2.74-2.97
4 Ca 0.0000 0.8229 0.6771  3 Pd 2.74-2.97
5 Zn 0.5000 0.1892 0.0555  2 Rh 2.69, 2 Pd 2.71, 2 Zn 2.71
6 Zn 0.5000 0.8108 0.9445  2 Rh 2.69, 2 Pd 2.71, 2 Zn 2.71
7 Zn 0.5000 0.0555 0.8108  2 Rh 2.69, 2 Pd 2.71, 2 Zn 2.71
8 Zn 0.5000 0.6892 0.4445  2 Rh 2.69, 2 Pd 2.71, 2 Zn 2.71
9 Zn 0.5000 0.9445 0.1892  2 Rh 2.69, 2 Pd 2.71, 2 Zn 2.71
10 Zn 0.5000 0.3108 0.5555  2 Rh 2.69, 2 Pd 2.71, 2 Zn 2.71
11 Zn 0.5000 0.5555 0.6892  2 Rh 2.69, 2 Pd 2.71, 2 Zn 2.71
12 Zn 0.5000 0.4445 0.3108  2 Rh 2.69, 2 Pd 2.71, 2 Zn 2.71
13 Zn 0.5000 0.5000 0.0000  4 Pd 2.54
14 Zn 0.5000 0.0000 0.5000  4 Pd 2.54
15 Pd 0.0000 0.1236 0.6236  6 Zn 2.54-2.71, 1 Ca 2.74
16 Pd 0.0000 0.8764 0.3764  6 Zn 2.54-2.71, 1 Ca 2.74
17 Pd 0.0000 0.6236 0.8764  6 Zn 2.54-2.71, 1 Ca 2.74
18 Pd 0.0000 0.3764 0.1236  6 Zn 2.54-2.71, 1 Ca 2.74
19 Rh 0.0000 0.0000 0.0000  8 Zn 2.69
20 Rh 0.0000 0.5000 0.5000  8 Zn 2.69

---

# 3
DFT (PBE-GGA) results for an optimized crystal structure of CaPdRu2.

Calculated values
The polymorph energy (0 for the lowest one) is 0.0670 eV/atom. Its density of states at the Fermi level is 4.11 states/eV/f.u. As for the calculated total energy: -0.427 Ry/atom.

a = 7.7565 Å, b = 7.7565 Å, c = 6.0415 Å
α = 50.06°, β = 50.06°, γ = 90.00°
Closest atoms and distances in Å follow each position.
Fractional coordinates of all 8 atoms:
1 Ru 0.6652 0.1250 0.2500  2 Ru 2.61, 2 Pd 2.61
2 Ru 0.0848 0.6250 0.2500  2 Ru 2.61, 2 Pd 2.61
3 Ru 0.3750 0.3348 0.7500  2 Ru 2.61, 2 Pd 2.61
4 Ru 0.8750 0.9152 0.7500  2 Ru 2.61, 2 Pd 2.61
5 Ca 0.5000 0.5000 0.0000  2 Pd 2.53
6 Ca 0.2500 0.7500 0.5000  2 Pd 2.53
7 Pd 0.0000 0.0000 0.0000  2 Ca 2.53, 4 Ru 2.61
8 Pd 0.7500 0.2500 0.5000  2 Ca 2.53, 4 Ru 2.61